# Ho5Re2O12

Ho5Re2O12 at its PBEsol-relaxed geometry (SCAN, the Alexandria database).

Output
The size of the total moment is 0.98 μB per formula unit. The formation energy (no corrections) comes out at -3193 meV/atom.

a = 6.740 Å, b = 6.740 Å, c = 7.428 Å
α = 106.26°, β = 106.26°, γ = 48.89°
Positions (direct):
Ho: 0.000 0.000 0.000
Ho: 0.303 0.303 0.141
Ho: 0.314 0.314 0.675
Ho: 0.686 0.686 0.325
Ho: 0.697 0.697 0.859
Re: 0.216 0.784 0.500
Re: 0.784 0.216 0.500
O: 0.001 0.001 0.293
O: 0.087 0.580 0.415
O: 0.098 0.594 0.927
O: 0.406 0.902 0.073
O: 0.420 0.913 0.585
O: 0.499 0.499 0.321
O: 0.501 0.501 0.679
O: 0.580 0.087 0.415
O: 0.594 0.098 0.927
O: 0.902 0.406 0.073
O: 0.913 0.420 0.585
O: 0.999 0.999 0.707